Record 1
# TbSm2P3, optimized geometry, DFT PBE
data_TbSm2P3
_chemical_formula_sum 'Tb2 Sm4 P6'
_space_group_name_H-M_alt 'I m m m'
_space_group_IT_number 71
_space_group_name_Hall '-I 2 2'
_cell_length_a 4.0859
_cell_length_b 5.7709
_cell_length_c 12.2373
_cell_angle_alpha 90.00
_cell_angle_beta 90.00
_cell_angle_gamma 90.00
loop_
_atom_site_label
_atom_site_fract_x
_atom_site_fract_y
_atom_site_fract_z
Tb1 0.0000 0.0000 0.0000
Sm1 0.0000 0.0000 0.3330
P1 0.0000 0.5000 0.0000
P2 0.0000 0.5000 0.3359
# * magnetization: 0.00 μB per formula unit
# * energy of formation: -1.583 eV/atom
# * Fermi-level density of states: 0.132 states/eV per atom
# * total DFT energy (no corrections): -0.244 hartree per atom

Record 2
# SrCaLa2Cr, optimized geometry, DFT PBE
data_SrCaLa2Cr
_chemical_formula_sum 'Sr1 Ca1 La2 Cr1'
_space_group_name_H-M_alt 'P 4/m m m'
_space_group_IT_number 123
_space_group_name_Hall '-P 4 2'
_cell_length_a 5.6079
_cell_length_b 5.6079
_cell_length_c 6.1646
_cell_angle_alpha 90.00
_cell_angle_beta 90.00
_cell_angle_gamma 90.00
loop_
_atom_site_label
_atom_site_fract_x
_atom_site_fract_y
_atom_site_fract_z
Sr1 0.0000 0.0000 0.0000
Ca1 0.5000 0.5000 0.0000
La1 0.0000 0.5000 0.5000
Cr1 0.0000 0.0000 0.5000
# * magnetization: 2.36 μB per formula unit
# * polymorph energy (0 for the lowest one): 43.0 meV/atom
# * energy of formation: 0.367 eV/atom
# * Fermi-level density of states: 1.131 states/eV per atom
# * total DFT energy (no corrections): -0.157 hartree per atom

Record 3
# CaErInRh, optimized geometry, DFT PBE
data_CaErInRh
_chemical_formula_sum 'Ca4 Er4 In4 Rh4'
_space_group_name_H-M_alt 'F -4 3 m'
_space_group_IT_number 216
_space_group_name_Hall 'F -4 2 3'
_cell_length_a 7.1793
_cell_length_b 7.1793
_cell_length_c 7.1793
_cell_angle_alpha 90.00
_cell_angle_beta 90.00
_cell_angle_gamma 90.00
loop_
_atom_site_label
_atom_site_fract_x
_atom_site_fract_y
_atom_site_fract_z
Ca1 0.0000 0.0000 0.0000
Er1 0.0000 0.0000 0.5000
In1 0.2500 0.2500 0.7500
Rh1 0.2500 0.2500 0.2500
# * magnetization: 0.00 μB per formula unit
# * energy of formation: -0.443 eV/atom
# * Fermi-level density of states: 0.905 states/eV per atom
# * total DFT energy (no corrections): -0.169 hartree per atom

Record 4
# MgFe2Ru, optimized geometry, DFT PBE
data_MgFe2Ru
_chemical_formula_sum 'Mg2 Fe4 Ru2'
_space_group_name_H-M_alt 'C 1 2/m 1'
_space_group_IT_number 12
_cell_length_a 5.1782
_cell_length_b 8.5435
_cell_length_c 2.5918
_cell_angle_alpha 90.00
_cell_angle_beta 107.27
_cell_angle_gamma 90.00
loop_
_space_group_symop_operation_xyz
'x,y,z'
'-x,-y,-z'
'-x,y,-z'
'x,-y,z'
'x+1/2,y+1/2,z'
'-x+1/2,-y+1/2,-z'
'-x+1/2,y+1/2,-z'
'x+1/2,-y+1/2,z'
loop_
_atom_site_label
_atom_site_fract_x
_atom_site_fract_y
_atom_site_fract_z
Mg1 0.0000 0.0000 0.0000
Fe1 0.2500 0.2500 0.5000
Ru1 0.0000 0.5000 0.0000
# * magnetization: 5.43 μB per formula unit
# * energy of formation: 0.210 eV/atom
# * Fermi-level density of states: 0.936 states/eV per atom
# * total DFT energy (no corrections): -0.248 hartree per atom